Pr8Ho2Sc | PBE | relaxed

Calculated values
calculated total energy	-4.71	eV/atom
crystal system	monoclinic
energy of formation from the pure elements	172	meV/atom
space group	C2/m (12)

```
Pr8Ho2Sc
1.0
-2.9836 4.5302 3.9465
-7.4977 -2.9931 6.2358
-1.6639 -2.2618 9.8069
Pr Ho Sc
8 2 1
Direct
0.2280 0.3379 0.8230 Pr
0.7720 0.1770 0.6621 Pr
0.1580 0.7530 0.7530 Pr
0.8420 0.2470 0.2470 Pr
0.2280 0.8230 0.3379 Pr
0.7720 0.6621 0.1770 Pr
0.7232 0.5993 0.5993 Pr
0.2768 0.4007 0.4007 Pr
0.5529 0.8161 0.8161 Ho
0.4471 0.1839 0.1839 Ho
0.0000 0.0000 0.0000 Sc
```